# 1
A plane-wave DFT calculation with meta-GGA SCAN was carried out for a crystal of SrCrMo2 relaxed with PBEsol.

Structure (POSCAR):
```
SrCrMo2
1.0
-1.245 -3.657 -0.317
3.665 -1.220 -0.321
-0.954 1.929 5.183
Cr Mo Sr
1 2 1
direct
0.000 0.000 0.000
0.750 0.250 0.500
0.250 0.750 0.500
0.500 0.500 0.000
```

The calculation puts the density of states at the Fermi level at 0.76 states/eV per atom. Its excess energy over the best structure of this formula in the dataset is 0 meV/atom. The formation energy comes out at 1.129 eV per atom.

# 2
A plane-wave DFT calculation with meta-GGA SCAN was carried out for a crystal of Li2MgTi3O8 relaxed with PBEsol.

Structure (POSCAR):
```
Li2MgTi3O8
1.0
8.352 0.000 0.000
0.000 8.352 0.000
0.000 0.000 8.352
Li Mg Ti O
8 4 12 32
direct
0.002 0.498 0.502
0.124 0.876 0.376
0.376 0.124 0.876
0.498 0.502 0.002
0.502 0.002 0.498
0.624 0.624 0.624
0.876 0.376 0.124
0.998 0.998 0.998
0.248 0.748 0.752
0.252 0.252 0.252
0.748 0.752 0.248
0.752 0.248 0.748
0.120 0.627 0.134
0.127 0.366 0.880
0.134 0.120 0.627
0.366 0.880 0.127
0.373 0.634 0.380
0.380 0.373 0.634
0.620 0.873 0.866
0.627 0.134 0.120
0.634 0.380 0.373
0.866 0.620 0.873
0.873 0.866 0.620
0.880 0.127 0.366
0.107 0.127 0.390
0.112 0.612 0.888
0.110 0.893 0.627
0.122 0.144 0.859
0.127 0.390 0.107
0.141 0.622 0.356
0.138 0.362 0.638
0.144 0.859 0.122
0.356 0.141 0.622
0.362 0.638 0.138
0.359 0.378 0.856
0.373 0.610 0.607
0.378 0.856 0.359
0.390 0.107 0.127
0.388 0.388 0.388
0.393 0.873 0.890
0.607 0.373 0.610
0.612 0.888 0.112
0.610 0.607 0.373
0.622 0.356 0.141
0.627 0.110 0.893
0.641 0.878 0.644
0.638 0.138 0.362
0.644 0.641 0.878
0.856 0.359 0.378
0.862 0.862 0.862
0.859 0.122 0.144
0.873 0.890 0.393
0.878 0.644 0.641
0.890 0.393 0.873
0.888 0.112 0.612
0.893 0.627 0.110
```

The calculation puts the density of states at the Fermi level at 0.00 states/eV per atom. Its excess energy over the best structure of this formula in the dataset is 0 meV/atom. The formation energy (no corrections) comes out at -3.1142 eV per atom.

# 3
A plane-wave DFT calculation with meta-GGA SCAN was carried out for a crystal of CdAgAu2 relaxed with PBEsol.

Structure (POSCAR):
```
CdAgAu2
1.0
4.105 0.000 0.000
0.000 4.105 0.000
0.000 0.000 4.108
Au Ag Cd
2 1 1
direct
0.000 0.500 0.000
0.500 0.000 0.000
0.000 0.000 0.500
0.500 0.500 0.500
```

The calculation puts the density of states at the Fermi level at 0.22 states/eV per atom. The formation energy comes out at -0.176 eV per atom.

# 4
A plane-wave DFT calculation with meta-GGA SCAN was carried out for a crystal of SmSi2Rh relaxed with PBEsol.

Structure (POSCAR):
```
SmSi2Rh
1.0
4.131 0.000 0.000
0.000 4.162 0.000
0.000 2.081 8.298
Si Rh Sm
4 2 2
direct
0.750 0.251 0.500
0.250 0.750 0.500
0.250 0.039 0.923
0.750 0.961 0.077
0.250 0.179 0.643
0.750 0.821 0.357
0.750 0.605 0.790
0.250 0.395 0.210
```

The calculation puts the density of states at the Fermi level at 0.40 states/eV per atom. The formation energy (no corrections) comes out at -1.0370 eV per atom.